<A>
Here is a relaxed CrOsSN2 crystal from the Alexandria database. Energies are from PBE.

The symmetry is No. 123. The theoretical density comes out at 6.765 g/cm³. For the magnetic moment, the calculation gives 4.01 μB/f.u.

Lattice parameters (Å, degrees): 3.7582 3.7582 5.2535 90.00 90.00 90.00
Last column: nearest neighbours and their distance in Å.
Sites, in units of the cell vectors:
Cr: 0.0000 0.0000 0.0000  4 S 2.66
Os: 0.5000 0.5000 0.5000  4 N 1.88
S: 0.5000 0.5000 0.0000  2 Os 2.63, 4 Cr 2.66
N: 0.0000 0.5000 0.5000  2 Os 1.88
N: 0.5000 0.0000 0.5000  2 Os 1.88

=====

<B>
Here is a relaxed CrOsSN2 crystal from the Alexandria database. Energies are from PBE.

The symmetry is No. 123. The theoretical density comes out at 7.868 g/cm³. For the magnetic moment, the calculation gives 2.40 μB/f.u.

Lattice parameters (Å, degrees): 3.6143 3.6143 4.8838 90.00 90.00 90.00
Last column: nearest neighbours and their distance in Å.
Sites, in units of the cell vectors:
Cr: 0.0000 0.0000 0.0000  4 N 1.81
Os: 0.5000 0.5000 0.5000  4 S 2.56
S: 0.0000 0.0000 0.5000  2 Cr 2.44, 4 Os 2.56
N: 0.0000 0.5000 0.0000  2 Cr 1.81
N: 0.5000 0.0000 0.0000  2 Cr 1.81

=====

Bottom line: <A>, by a margin of 0.568 eV/atom.

=====

<A>
Here is a relaxed CrOsSeN2 crystal from the Alexandria database. Energies are from PBE.

The symmetry is No. 123. The theoretical density comes out at 8.142 g/cm³. For the magnetic moment, the calculation gives 2.50 μB/f.u.

Lattice parameters (Å, degrees): 3.6426 3.6426 5.3676 90.00 90.00 90.00
Last column: nearest neighbours and their distance in Å.
Sites, in units of the cell vectors:
Cr: 0.0000 0.0000 0.0000  4 N 1.82
Os: 0.5000 0.5000 0.5000  4 Se 2.58
Se: 0.0000 0.0000 0.5000  4 Os 2.58, 2 Cr 2.68
N: 0.0000 0.5000 0.0000  2 Cr 1.82
N: 0.5000 0.0000 0.0000  2 Cr 1.82

=====

<B>
Here is a relaxed CrOsSeN2 crystal from the Alexandria database. Energies are from PBE.

The symmetry is No. 123. The theoretical density comes out at 7.315 g/cm³. For the magnetic moment, the calculation gives 4.04 μB/f.u.

Lattice parameters (Å, degrees): 3.7792 3.7792 5.5501 90.00 90.00 90.00
Last column: nearest neighbours and their distance in Å.
Sites, in units of the cell vectors:
Cr: 0.0000 0.0000 0.0000  4 Se 2.67
Os: 0.5000 0.5000 0.5000  4 N 1.89
Se: 0.5000 0.5000 0.0000  4 Cr 2.67, 2 Os 2.78
N: 0.0000 0.5000 0.5000  2 Os 1.89
N: 0.5000 0.0000 0.5000  2 Os 1.89

=====

Bottom line: <B>, by a margin of 0.601 eV/atom.